(1)
DFT (PBE-GGA) results for Nd5Sn2 after structural relaxation.

Summary:
crystal system	orthorhombic
relative energy among the computed polymorphs	0	meV/atom
total magnetic moment	0.000	μB per formula unit
formation energy from the elements	-465.1	meV per atom

a = 4.733 Å, b = 41.072 Å, c = 4.670 Å
α = 90.00°, β = 90.00°, γ = 90.00°
Space group Cmcm (No. 63)
Unique sites:
Nd: 0.000 0.034 0.250 x4
Nd: 0.000 0.175 0.750 x4
Nd: 0.000 0.250 0.250 x4
Nd: 0.000 0.388 0.750 x4
Nd: 0.000 0.460 0.250 x4
Sn: 0.000 0.096 0.750 x4
Sn: 0.000 0.309 0.750 x4

=====

(2)
DFT (PBE-GGA) results for Nd3Sn4 after structural relaxation.

Summary:
crystal system	orthorhombic
total magnetic moment	0.000	μB per formula unit
formation energy from the elements	-738.0	meV per atom

a = 4.465 Å, b = 11.769 Å, c = 15.829 Å
α = 90.00°, β = 90.00°, γ = 90.00°
Space group Cmcm (No. 63)
Unique sites:
Nd: 0.000 0.051 0.250 x4
Nd: 0.000 0.331 0.098 x8
Sn: 0.000 0.000 0.000 x4
Sn: 0.000 0.218 0.750 x4
Sn: 0.000 0.380 0.608 x8

=====

(3)
DFT (PBE-GGA) results for NdSn after structural relaxation.

Summary:
crystal system	orthorhombic
total magnetic moment	0.000	μB per formula unit
formation energy from the elements	-693.0	meV per atom

a = 4.467 Å, b = 4.727 Å, c = 11.103 Å
α = 90.00°, β = 90.00°, γ = 90.00°
Space group Imma (No. 74)
Unique sites:
Nd: 0.000 0.250 0.122 x4
Sn: 0.000 0.250 0.635 x4

=====

(4)
DFT (PBE-GGA) results for Nd3Sn after structural relaxation.

Summary:
crystal system	tetragonal
total magnetic moment	0.000	μB per formula unit
formation energy from the elements	-410.5	meV per atom

a = 4.888 Å, b = 4.888 Å, c = 10.235 Å
α = 90.00°, β = 90.00°, γ = 90.00°
Space group I4/mmm (No. 139)
Unique sites:
Nd: 0.000 0.000 0.000 x2
Nd: 0.000 0.500 0.250 x4
Sn: 0.000 0.000 0.500 x2

=====

(5)
DFT (PBE-GGA) results for NdSn5 after structural relaxation.

Summary:
crystal system	orthorhombic
relative energy among the computed polymorphs	0	meV/atom
total magnetic moment	0.000	μB per formula unit
formation energy from the elements	-291.2	meV per atom

a = 4.585 Å, b = 6.776 Å, c = 10.867 Å
α = 90.00°, β = 90.00°, γ = 90.00°
Space group Immm (No. 71)
Unique sites:
Nd: 0.000 0.000 0.000 x2
Sn: 0.000 0.222 0.338 x8
Sn: 0.000 0.500 0.000 x2

=====

(6)
DFT (PBE-GGA) results for Nd3Sn after structural relaxation.

Summary:
crystal system	orthorhombic
total magnetic moment	0.000	μB per formula unit
formation energy from the elements	-360.8	meV per atom

a = 3.668 Å, b = 11.358 Å, c = 6.040 Å
α = 90.00°, β = 90.00°, γ = 90.00°
Space group Imm2 (No. 44)
Unique sites:
Nd: 0.000 0.000 0.000 x2
Nd: 0.000 0.228 0.365 x4
Sn: 0.000 0.500 0.042 x2

=====

(7)
DFT (PBE-GGA) results for NdSn5 after structural relaxation.

Summary:
crystal system	orthorhombic
relative energy among the computed polymorphs	19	meV/atom
total magnetic moment	0.000	μB per formula unit
formation energy from the elements	-272.1	meV per atom

a = 4.677 Å, b = 15.331 Å, c = 4.615 Å
α = 90.00°, β = 90.00°, γ = 90.00°
Space group Cmmm (No. 65)
Unique sites:
Nd: 0.000 0.000 0.000 x2
Sn: 0.000 0.171 0.500 x4
Sn: 0.000 0.340 0.000 x4
Sn: 0.000 0.500 0.500 x2

=====

(8)
DFT (PBE-GGA) results for Nd3Sn5 after structural relaxation.

Summary:
crystal system	tetragonal
relative energy among the computed polymorphs	29	meV/atom
total magnetic moment	0.000	μB per formula unit
formation energy from the elements	-628.1	meV per atom

a = 4.695 Å, b = 4.695 Å, c = 20.426 Å
α = 90.00°, β = 90.00°, γ = 90.00°
Space group I-4m2 (No. 119)
Unique sites:
Nd: 0.000 0.000 0.000 x2
Nd: 0.000 0.500 0.141 x4
Sn: 0.000 0.000 0.252 x4
Sn: 0.000 0.000 0.500 x2
Sn: 0.000 0.500 0.622 x4

=====

(9)
DFT (PBE-GGA) results for Nd4Sn after structural relaxation.

Summary:
crystal system	cubic
relative energy among the computed polymorphs	467	meV/atom
total magnetic moment	1.601	μB per formula unit
formation energy from the elements	216.4	meV per atom

a = 5.955 Å, b = 5.955 Å, c = 5.955 Å
α = 90.00°, β = 90.00°, γ = 90.00°
Space group Pm-3m (No. 221)
Unique sites:
Nd: 0.000 0.000 0.000 x1
Nd: 0.000 0.500 0.500 x3
Sn: 0.500 0.500 0.500 x1

=====

(10)
DFT (PBE-GGA) results for Nd7Sn after structural relaxation.

Summary:
crystal system	cubic
total magnetic moment	0.000	μB per formula unit
formation energy from the elements	-153.5	meV per atom

a = 10.172 Å, b = 10.172 Å, c = 10.172 Å
α = 90.00°, β = 90.00°, γ = 90.00°
Space group Fm-3m (No. 225)
Unique sites:
Nd: 0.000 0.000 0.000 x4
Nd: 0.000 0.250 0.250 x24
Sn: 0.000 0.000 0.500 x4

=====

(11)
DFT (PBE-GGA) results for Nd3Sn after structural relaxation.

Summary:
crystal system	cubic
total magnetic moment	0.001	μB per formula unit
formation energy from the elements	-254.9	meV per atom

a = 7.891 Å, b = 7.891 Å, c = 7.891 Å
α = 90.00°, β = 90.00°, γ = 90.00°
Space group Fm-3m (No. 225)
Unique sites:
Nd: 0.000 0.000 0.000 x4
Nd: 0.250 0.250 0.250 x8
Sn: 0.000 0.000 0.500 x4

=====

(12)
DFT (PBE-GGA) results for Nd5Sn after structural relaxation.

Summary:
crystal system	orthorhombic
relative energy among the computed polymorphs	21	meV/atom
total magnetic moment	0.000	μB per formula unit
formation energy from the elements	-240.1	meV per atom

a = 6.992 Å, b = 10.304 Å, c = 10.649 Å
α = 90.00°, β = 90.00°, γ = 90.00°
Space group Cmme (No. 67)
Unique sites:
Nd: 0.000 0.250 0.023 x4
Nd: 0.000 0.250 0.674 x4
Nd: 0.250 0.000 0.178 x8
Nd: 0.250 0.000 0.500 x4
Sn: 0.000 0.250 0.345 x4

=====

(13)
DFT (PBE-GGA) results for Nd5Sn after structural relaxation.

Summary:
crystal system	orthorhombic
relative energy among the computed polymorphs	0	meV/atom
total magnetic moment	0.000	μB per formula unit
formation energy from the elements	-261.3	meV per atom

a = 4.958 Å, b = 15.665 Å, c = 4.990 Å
α = 90.00°, β = 90.00°, γ = 90.00°
Space group Cmmm (No. 65)
Unique sites:
Nd: 0.000 0.000 0.000 x2
Nd: 0.000 0.160 0.500 x4
Nd: 0.000 0.338 0.000 x4
Sn: 0.000 0.500 0.500 x2

=====

(14)
DFT (PBE-GGA) results for Nd5Sn2 after structural relaxation.

Summary:
crystal system	monoclinic
relative energy among the computed polymorphs	10	meV/atom
total magnetic moment	0.000	μB per formula unit
formation energy from the elements	-454.8	meV per atom

a = 16.423 Å, b = 6.131 Å, c = 9.005 Å
α = 90.00°, β = 96.45°, γ = 90.00°
Space group C2/c (No. 15)
Unique sites:
Nd: 0.000 0.213 0.250 x4
Nd: 0.109 0.321 0.940 x8
Nd: 0.222 0.098 0.320 x8
Sn: 0.094 0.193 0.589 x8

=====

(15)
DFT (PBE-GGA) results for Nd4Sn after structural relaxation.

Summary:
crystal system	orthorhombic
relative energy among the computed polymorphs	0	meV/atom
total magnetic moment	0.000	μB per formula unit
formation energy from the elements	-251.0	meV per atom

a = 5.403 Å, b = 6.878 Å, c = 16.730 Å
α = 90.00°, β = 90.00°, γ = 90.00°
Space group Imma (No. 74)
Unique sites:
Nd: 0.000 0.000 0.000 x4
Nd: 0.000 0.012 0.200 x8
Nd: 0.000 0.250 0.599 x4
Sn: 0.000 0.250 0.390 x4

=====

(16)
DFT (PBE-GGA) results for SrNd2Sn2 after structural relaxation.

Summary:
crystal system	monoclinic
total magnetic moment	0.000	μB per formula unit
formation energy from the elements	-420.0	meV per atom

a = 8.384 Å, b = 15.743 Å, c = 6.443 Å
α = 90.00°, β = 117.10°, γ = 90.00°
Space group C2/c (No. 15)
Unique sites:
Sr: 0.000 0.103 0.250 x4
Nd: 0.000 0.280 0.750 x4
Nd: 0.000 0.466 0.250 x4
Sn: 0.205 0.102 0.886 x8

=====

(17)
DFT (PBE-GGA) results for SrNd2Sn9 after structural relaxation.

Summary:
crystal system	tetragonal
total magnetic moment	0.000	μB per formula unit
formation energy from the elements	-465.0	meV per atom

a = 4.859 Å, b = 4.859 Å, c = 14.104 Å
α = 90.00°, β = 90.00°, γ = 90.00°
Space group P4/mmm (No. 123)
Unique sites:
Sr: 0.000 0.000 0.000 x1
Nd: 0.000 0.000 0.338 x2
Sn: 0.000 0.500 0.170 x4
Sn: 0.000 0.500 0.500 x2
Sn: 0.500 0.500 0.000 x1
Sn: 0.500 0.500 0.334 x2

=====

(18)
DFT (PBE-GGA) results for SrNd4Sn4 after structural relaxation.

Summary:
crystal system	tetragonal
total magnetic moment	0.000	μB per formula unit
formation energy from the elements	-518.4	meV per atom

a = 10.385 Å, b = 10.385 Å, c = 6.349 Å
α = 90.00°, β = 90.00°, γ = 90.00°
Space group P4_2/n (No. 86, origin choice 2)
Unique sites:
Sr: 0.250 0.250 0.250 x2
Nd: 0.110 0.636 0.138 x8
Sn: 0.054 0.593 0.652 x8

=====

(19)
DFT (PBE-GGA) results for SrNdSn4 after structural relaxation.

Summary:
crystal system	cubic
total magnetic moment	0.123	μB per formula unit
formation energy from the elements	-390.7	meV per atom

a = 8.937 Å, b = 8.937 Å, c = 8.937 Å
α = 90.00°, β = 90.00°, γ = 90.00°
Space group F-43m (No. 216)
Unique sites:
Sr: 0.000 0.000 0.000 x4
Nd: 0.250 0.250 0.250 x4
Sn: 0.124 0.124 0.624 x16

=====

(20)
DFT (PBE-GGA) results for Sr3NdSn12 after structural relaxation.

Summary:
crystal system	tetragonal
total magnetic moment	0.000	μB per formula unit
formation energy from the elements	-419.6	meV per atom

a = 4.824 Å, b = 4.824 Å, c = 19.487 Å
α = 90.00°, β = 90.00°, γ = 90.00°
Space group P4/mmm (No. 123)
Unique sites:
Sr: 0.000 0.000 0.000 x1
Sr: 0.000 0.000 0.252 x2
Nd: 0.000 0.000 0.500 x1
Sn: 0.000 0.500 0.125 x4
Sn: 0.000 0.500 0.377 x4
Sn: 0.500 0.500 0.000 x1
Sn: 0.500 0.500 0.251 x2
Sn: 0.500 0.500 0.500 x1

=====

(21)
DFT (PBE-GGA) results for SrNdTlSn after structural relaxation.

Summary:
crystal system	cubic
total magnetic moment	0.000	μB per formula unit
formation energy from the elements	-470.5	meV per atom

a = 7.957 Å, b = 7.957 Å, c = 7.957 Å
α = 90.00°, β = 90.00°, γ = 90.00°
Space group F-43m (No. 216)
Unique sites:
Sr: 0.000 0.000 0.000 x4
Nd: 0.000 0.000 0.500 x4
Tl: 0.250 0.250 0.750 x4
Sn: 0.250 0.250 0.250 x4

=====

(22)
DFT (PBE-GGA) results for SrNd2Zn2Sn2 after structural relaxation.

Summary:
crystal system	trigonal
total magnetic moment	0.000	μB per formula unit
formation energy from the elements	-379.2	meV per atom

a = 4.7558 Å, b = 4.7558 Å, c = 30.3610 Å
α = 90.00°, β = 90.00°, γ = 120.00°
Space group R-3m (No. 166, hexagonal axes)
Unique sites:
Sr: 0.0000 0.0000 0.0000 x3
Nd: 0.0000 0.0000 0.1320 x6
Zn: 0.0000 0.0000 0.4210 x6
Sn: 0.0000 0.0000 0.2602 x6

=====

(23)
DFT (PBE-GGA) results for Tb8Nd2Sn after structural relaxation.

Summary:
crystal system	monoclinic
total magnetic moment	0.000	μB per formula unit
formation energy from the elements	-4.4	meV per atom

a = 14.948 Å, b = 6.689 Å, c = 7.376 Å
α = 90.00°, β = 105.92°, γ = 90.00°
Space group C2/m (No. 12)
Unique sites:
Tb: 0.069 0.242 0.361 x8
Tb: 0.105 0.000 0.957 x4
Tb: 0.171 0.500 0.761 x4
Nd: 0.241 0.500 0.280 x4
Sn: 0.000 0.500 0.000 x2